[1]
First-principles (PBE) data for a relaxed structure of GeSb3O, as listed in the Alexandria database.

Computed properties:
The value obtained for the density of states at the Fermi level is 2.3 states/eV per cell. Its symmetry is Pm-3m (221). The polymorph energy (0 for the lowest one) comes out at 0.00 eV per formula unit. For the uncorrected formation energy, the calculation gives 0.0799 eV/atom.

```
data_GeSb3O
_chemical_formula_sum 'Ge1 Sb3 O1'
_cell_length_a 4.8051
_cell_length_b 4.8051
_cell_length_c 4.8051
_cell_angle_alpha 90.00
_cell_angle_beta 90.00
_cell_angle_gamma 90.00
_symmetry_space_group_name_H-M 'P 1'
_symmetry_Int_Tables_number 1
_symmetry_space_group_name_Hall 'P 1'
loop_
_atom_site_label
_atom_site_type_symbol
_atom_site_fract_x
_atom_site_fract_y
_atom_site_fract_z
_atom_site_occupancy
Sb1 Sb 0.0000 0.5000 0.0000 1
Sb2 Sb 0.0000 0.0000 0.5000 1
Sb3 Sb 0.5000 0.0000 0.0000 1
Ge1 Ge 0.5000 0.5000 0.5000 1
O1 O 0.0000 0.0000 0.0000 1
```


[2]
First-principles (PBE) data for a relaxed structure of LiTl2MoCl6, as listed in the Alexandria database.

Computed properties:
Its symmetry is R-3m (166). For the uncorrected formation energy, the calculation gives -1.1145 eV/atom.

```
data_LiTl2MoCl6
_chemical_formula_sum 'Li2 Tl4 Mo2 Cl12'
_cell_length_a 7.1135
_cell_length_b 7.1135
_cell_length_c 12.6897
_cell_angle_alpha 73.72
_cell_angle_beta 73.72
_cell_angle_gamma 60.00
_symmetry_space_group_name_H-M 'P 1'
_symmetry_Int_Tables_number 1
_symmetry_space_group_name_Hall 'P 1'
loop_
_atom_site_label
_atom_site_type_symbol
_atom_site_fract_x
_atom_site_fract_y
_atom_site_fract_z
_atom_site_occupancy
Li1 Li 0.5852 0.5852 0.2443 1
Li2 Li 0.4148 0.4148 0.7557 1
Tl1 Tl 0.8713 0.8713 0.3861 1
Tl2 Tl 0.1287 0.1287 0.6139 1
Tl3 Tl 0.7003 0.7003 0.8990 1
Tl4 Tl 0.2997 0.2997 0.1010 1
Mo1 Mo 0.0000 0.0000 0.0000 1
Mo2 Mo 0.5000 0.5000 0.5000 1
Cl1 Cl 0.8612 0.3800 0.3788 1
Cl2 Cl 0.3800 0.8612 0.3788 1
Cl3 Cl 0.3800 0.3800 0.3788 1
Cl4 Cl 0.1388 0.6200 0.6212 1
Cl5 Cl 0.6200 0.1388 0.6212 1
Cl6 Cl 0.6200 0.6200 0.6212 1
Cl7 Cl 0.7132 0.2024 0.8820 1
Cl8 Cl 0.2024 0.7132 0.8820 1
Cl9 Cl 0.2024 0.2024 0.8820 1
Cl10 Cl 0.2868 0.7976 0.1180 1
Cl11 Cl 0.7976 0.2868 0.1180 1
Cl12 Cl 0.7976 0.7976 0.1180 1
```